TiHgMo2Se | GGA-PBE | optimized geometry

Cell lengths 4.999, 4.905, 4.999 Å; angles 90.00, 90.00, 90.00 degrees
Sites, in units of the cell vectors:
Hg1 0.000 0.000 0.000
Se1 0.500 0.500 0.500
Mo1 0.000 0.000 0.500
Mo2 0.500 0.000 0.000
Ti1 0.000 0.500 0.000

DFT total energy   -4.63 eV per atom
Space group   No. 123
Size of the total moment   0.00 Bohr magnetons per cell